{"formula": "KV4O8", "functional": "PBE with a Hubbard U", "state": "relaxed", "lattice_angstrom": [[2.923, 0.000, 0.000], [1.462, 7.234, 0.000], [1.462, 0.000, 7.234]], "species": ["V", "V", "V", "O", "O", "O", "O", "O", "K", "V", "O", "O", "O"], "fractional_positions": [[0.351, 0.817, 0.482], [0.167, 0.482, 0.183], [0.649, 0.183, 0.518], [0.460, 0.374, 0.705], [0.800, 0.355, 0.046], [0.845, 0.954, 0.355], [0.165, 0.295, 0.374], [0.835, 0.705, 0.626], [0.500, 0.000, 0.000], [0.833, 0.518, 0.817], [0.155, 0.046, 0.645], [0.540, 0.626, 0.295], [0.200, 0.645, 0.954]], "crystal_system": "tetragonal", "energy_ev_per_cell": -96.68, "spacegroup": "No. 87"}